# GGA-PBE Ba2MoPb, relaxed
# - Space-group type: I-4m2, No. 119
# - DFT formation energy: 0.578 eV per atom
data_Ba2MoPb
_symmetry_space_group_name_H-M 'P 1'
_symmetry_Int_Tables_number 1
_cell_length_a 5.694
_cell_length_b 5.694
_cell_length_c 5.694
_cell_angle_alpha 119.91
_cell_angle_beta 119.91
_cell_angle_gamma 90.15
loop_
_symmetry_equiv_pos_as_xyz
'x,y,z'
loop_
_atom_site_label
_atom_site_fract_x
_atom_site_fract_y
_atom_site_fract_z
_atom_site_occupancy
Ba1 0.000 0.000 0.000 1
Ba2 0.750 0.250 0.500 1
Mo1 0.500 0.500 0.000 1
Pb1 0.250 0.750 0.500 1

***

# GGA-PBE BaMoPb3, relaxed
# - Space-group type: Pm-3m, No. 221
# - DFT formation energy: 0.113 eV per atom
data_BaMoPb3
_symmetry_space_group_name_H-M 'P 1'
_symmetry_Int_Tables_number 1
_cell_length_a 5.477
_cell_length_b 5.477
_cell_length_c 5.477
_cell_angle_alpha 90.00
_cell_angle_beta 90.00
_cell_angle_gamma 90.00
loop_
_symmetry_equiv_pos_as_xyz
'x,y,z'
loop_
_atom_site_label
_atom_site_fract_x
_atom_site_fract_y
_atom_site_fract_z
_atom_site_occupancy
Ba1 0.000 0.000 0.000 1
Mo1 0.500 0.500 0.500 1
Pb1 0.000 0.500 0.500 1
Pb2 0.500 0.000 0.500 1
Pb3 0.500 0.500 0.000 1

***

# GGA-PBE Ba2MoPb, relaxed
# - Space-group type: P2/m, No. 10
# - DFT formation energy: 0.599 eV per atom
data_Ba2MoPb
_symmetry_space_group_name_H-M 'P 1'
_symmetry_Int_Tables_number 1
_cell_length_a 3.924
_cell_length_b 4.881
_cell_length_c 7.493
_cell_angle_alpha 90.00
_cell_angle_beta 90.10
_cell_angle_gamma 90.00
loop_
_symmetry_equiv_pos_as_xyz
'x,y,z'
loop_
_atom_site_label
_atom_site_fract_x
_atom_site_fract_y
_atom_site_fract_z
_atom_site_occupancy
Ba1 0.000 0.000 0.249 1
Ba2 0.000 0.000 0.751 1
Mo1 0.500 0.500 0.000 1
Pb1 0.500 0.500 0.500 1

***

# GGA-PBE Ba2MoPb2, relaxed
# - Space-group type: I4/mmm, No. 139
# - DFT formation energy: 0.882 eV per atom
data_Ba2MoPb2
_symmetry_space_group_name_H-M 'P 1'
_symmetry_Int_Tables_number 1
_cell_length_a 8.438
_cell_length_b 8.438
_cell_length_c 8.438
_cell_angle_alpha 145.54
_cell_angle_beta 145.54
_cell_angle_gamma 49.53
loop_
_symmetry_equiv_pos_as_xyz
'x,y,z'
loop_
_atom_site_label
_atom_site_fract_x
_atom_site_fract_y
_atom_site_fract_z
_atom_site_occupancy
Ba1 0.250 0.750 0.500 1
Ba2 0.750 0.250 0.500 1
Mo1 0.000 0.000 0.000 1
Pb1 0.409 0.409 0.000 1
Pb2 0.591 0.591 0.000 1